[1]
PBE LaPm5Er3, relaxed; E_form = 0.1279 eV per atom; M_tot = 0.00 μB per formula unit; energy = -41.22 eV/f.u.; N(E_F) = 1.415 states/eV per atom; polymorph energy (0 for the lowest one) = 0.000 eV/atom
1.0
8.8259 -4.6929 0.0000
8.8259 4.6929 0.0000
-0.0008 0.0000 7.2973
La Pm Er
2 10 6
direct
0.1972 0.8028 0.7500 La
0.8028 0.1972 0.2500 La
0.0100 0.6584 0.5003 Pm
0.0112 0.6576 0.9998 Pm
0.1653 0.8347 0.2500 Pm
0.3424 0.9888 0.5002 Pm
0.3416 0.9900 0.9997 Pm
0.6584 0.0100 0.0003 Pm
0.6576 0.0112 0.4998 Pm
0.8347 0.1653 0.7500 Pm
0.9888 0.3424 0.0002 Pm
0.9900 0.3416 0.4997 Pm
0.3222 0.3230 0.7501 Er
0.3230 0.3222 0.2501 Er
0.5000 0.5000 0.0000 Er
0.5000 0.5000 0.5000 Er
0.6770 0.6778 0.7499 Er
0.6778 0.6770 0.2499 Er


[2]
PBE La3PmEr12, relaxed; E_form = 0.0347 eV per atom; M_tot = 0.00 μB per formula unit; energy = -73.73 eV/f.u.; N(E_F) = 1.601 states/eV per atom
1.0
5.0411 0.0000 0.0000
0.0000 5.0411 0.0000
0.0000 0.0000 20.1745
La Pm Er
3 1 12
direct
0.0000 0.0000 0.0000 La
0.0000 0.0000 0.2501 La
0.0000 0.0000 0.7499 La
0.0000 0.0000 0.5000 Pm
0.0000 0.5000 0.1255 Er
0.0000 0.5000 0.3771 Er
0.0000 0.5000 0.6229 Er
0.0000 0.5000 0.8745 Er
0.5000 0.0000 0.1255 Er
0.5000 0.0000 0.3771 Er
0.5000 0.0000 0.6229 Er
0.5000 0.0000 0.8745 Er
0.5000 0.5000 0.0000 Er
0.5000 0.5000 0.2514 Er
0.5000 0.5000 0.5000 Er
0.5000 0.5000 0.7486 Er


[3]
PBE La2PmEr, relaxed; E_form = 0.1510 eV per atom; M_tot = 0.00 μB per formula unit; energy = -18.56 eV/f.u.; N(E_F) = 1.801 states/eV per atom; polymorph energy (0 for the lowest one) = 0.138 eV/atom
1.0
1.7766 1.0257 12.7279
-1.7766 1.0257 12.7279
0.0000 -2.0515 12.7279
La Pm Er
2 1 1
direct
0.0888 0.0888 0.0888 La
0.9112 0.9112 0.9112 La
0.0000 0.0000 0.0000 Pm
0.5000 0.5000 0.5000 Er


[4]
PBE LaPm5Er, relaxed; E_form = 0.8932 eV per atom; M_tot = 0.00 μB per formula unit; energy = -26.99 eV/f.u.; N(E_F) = 1.254 states/eV per atom
1.0
5.8884 -4.4925 0.0000
5.8884 4.4925 0.0000
-0.0302 0.0000 5.9232
La Pm Er
1 5 1
direct
0.0000 0.0000 0.0000 La
0.0000 0.0000 0.5000 Pm
0.2534 0.2534 0.0078 Pm
0.3148 0.6852 0.0000 Pm
0.6852 0.3148 0.0000 Pm
0.7466 0.7466 0.9922 Pm
0.5000 0.5000 0.5000 Er


[5]
PBE La2PmEr4, relaxed; E_form = 0.2524 eV per atom; M_tot = 0.00 μB per formula unit; energy = -31.09 eV/f.u.; N(E_F) = 1.674 states/eV per atom; polymorph energy (0 for the lowest one) = 0.000 eV/atom
1.0
-2.3065 2.3065 11.2779
2.3065 -2.3065 11.2779
2.3065 2.3065 -11.2779
La Pm Er
2 1 4
direct
0.0992 0.0992 0.0000 La
0.9008 0.9008 0.0000 La
0.5000 0.5000 0.0000 Pm
0.2500 0.7500 0.5000 Er
0.3590 0.3590 0.0000 Er
0.6410 0.6410 0.0000 Er
0.7500 0.2500 0.5000 Er


[6]
PBE La3Pm12Er, relaxed; E_form = 0.0170 eV per atom; M_tot = 0.00 μB per formula unit; energy = -76.08 eV/f.u.; N(E_F) = 1.647 states/eV per atom
1.0
5.1831 0.0000 0.0000
0.0000 5.1831 0.0000
0.0000 0.0000 20.7243
La Pm Er
3 12 1
direct
0.0000 0.0000 0.0000 La
0.0000 0.0000 0.2516 La
0.0000 0.0000 0.7484 La
0.0000 0.5000 0.1258 Pm
0.0000 0.5000 0.3781 Pm
0.0000 0.5000 0.6219 Pm
0.0000 0.5000 0.8742 Pm
0.5000 0.0000 0.1258 Pm
0.5000 0.0000 0.3781 Pm
0.5000 0.0000 0.6219 Pm
0.5000 0.0000 0.8742 Pm
0.5000 0.5000 0.0000 Pm
0.5000 0.5000 0.2527 Pm
0.5000 0.5000 0.5000 Pm
0.5000 0.5000 0.7473 Pm
0.0000 0.0000 0.5000 Er


[7]
PBE La11Pm4Er9, relaxed; E_form = 0.0692 eV per atom; M_tot = 0.00 μB per formula unit; energy = -112.61 eV/f.u.; N(E_F) = 1.445 states/eV per atom
1.0
8.5541 -12.9625 0.0000
8.5541 12.9625 0.0000
0.0000 0.0000 3.7351
La Pm Er
11 4 9
direct
0.0000 0.0000 0.0000 La
0.0441 0.4063 0.0000 La
0.1596 0.8404 0.0000 La
0.2900 0.2900 0.0000 La
0.3674 0.6326 0.0000 La
0.4063 0.0441 0.0000 La
0.5937 0.9559 0.0000 La
0.6326 0.3674 0.0000 La
0.7100 0.7100 0.0000 La
0.8404 0.1596 0.0000 La
0.9559 0.5937 0.0000 La
0.2434 0.4445 0.5000 Pm
0.4445 0.2434 0.5000 Pm
0.5555 0.7566 0.5000 Pm
0.7566 0.5555 0.5000 Pm
0.0655 0.2118 0.5000 Er
0.1652 0.6333 0.5000 Er
0.2118 0.0655 0.5000 Er
0.3667 0.8348 0.5000 Er
0.5000 0.5000 0.5000 Er
0.6333 0.1652 0.5000 Er
0.7882 0.9345 0.5000 Er
0.8348 0.3667 0.5000 Er
0.9345 0.7882 0.5000 Er


[8]
PBE LaPm12Er3, relaxed; E_form = 0.0172 eV per atom; M_tot = 0.00 μB per formula unit; energy = -75.35 eV/f.u.; N(E_F) = 1.543 states/eV per atom
1.0
5.1345 0.0000 0.0000
0.0000 5.1345 0.0000
0.0000 0.0000 20.5360
La Pm Er
1 12 3
direct
0.0000 0.0000 0.0000 La
0.0000 0.5000 0.1283 Pm
0.0000 0.5000 0.3761 Pm
0.0000 0.5000 0.6239 Pm
0.0000 0.5000 0.8717 Pm
0.5000 0.0000 0.1283 Pm
0.5000 0.0000 0.3761 Pm
0.5000 0.0000 0.6239 Pm
0.5000 0.0000 0.8717 Pm
0.5000 0.5000 0.0000 Pm
0.5000 0.5000 0.2533 Pm
0.5000 0.5000 0.5000 Pm
0.5000 0.5000 0.7467 Pm
0.0000 0.0000 0.2520 Er
0.0000 0.0000 0.5000 Er
0.0000 0.0000 0.7480 Er